Entry 1:
Computed, not measured: a geometry-optimized SrMgTl2F6 structure at the PBE-GGA level of DFT.

Lattice parameters (Å, degrees): 6.3156 6.2021 10.7680 90.00 125.08 90.00
With the nearest neighbours (Å) after each atom.
Sites, in units of the cell vectors:
1 Sr 0.0000 0.0000 0.0000  6 F 2.42
2 Sr 0.0000 0.5000 0.5000  6 F 2.42
3 Mg 0.5000 0.0000 0.5000  6 F 2.03-2.04
4 Mg 0.5000 0.5000 0.0000  6 F 2.03-2.04
5 Tl 0.2627 0.0019 0.7558  7 F 2.87-3.14
6 Tl 0.2627 0.4981 0.2558  7 F 2.87-3.14
7 Tl 0.7373 0.5019 0.7442  7 F 2.87-3.14
8 Tl 0.7373 0.9981 0.2442  7 F 2.87-3.14
9 F 0.2240 0.0006 0.2725  1 Mg 2.03
10 F 0.2240 0.4994 0.7725  1 Mg 2.03
11 F 0.2996 0.7282 0.0285  1 Mg 2.04
12 F 0.2996 0.7718 0.5285  1 Mg 2.04
13 F 0.3072 0.2365 0.5279  1 Mg 2.04
14 F 0.3072 0.2635 0.0279  1 Mg 2.04
15 F 0.6928 0.7365 0.9721  1 Mg 2.04
16 F 0.6928 0.7635 0.4721  1 Mg 2.04
17 F 0.7004 0.2282 0.4715  1 Mg 2.04
18 F 0.7004 0.2718 0.9715  1 Mg 2.04
19 F 0.7760 0.5006 0.2275  1 Mg 2.03
20 F 0.7760 0.9994 0.7275  1 Mg 2.03

Summary:
- Raw total energy: -4.85 eV/atom
- E_form (uncorrected): -2.9277 eV per atom
- Spin magnetization: 0.00 μB per cell

---

Entry 2:
Computed, not measured: a geometry-optimized TbAl3Cl12 structure at the PBE-GGA level of DFT.

Lattice parameters (Å, degrees): 10.9939 10.9939 16.3322 90.00 90.00 120.00
With the nearest neighbours (Å) after each atom.
Sites, in units of the cell vectors:
1 Tb 0.1795 0.3590 0.1667  8 Cl 2.73-2.94
2 Tb 0.1795 0.8205 0.8333  8 Cl 2.73-2.94
3 Tb 0.6410 0.8205 0.5000  8 Cl 2.73-2.94
4 Al 0.2216 0.6108 0.0000  4 Cl 2.15-2.17
5 Al 0.3040 0.1150 0.2308  4 Cl 2.10-2.24
6 Al 0.3040 0.1890 0.7692  4 Cl 2.10-2.24
7 Al 0.3892 0.6108 0.3333  4 Cl 2.15-2.17
8 Al 0.3892 0.7784 0.6667  4 Cl 2.15-2.17
9 Al 0.8110 0.1150 0.1025  4 Cl 2.10-2.24
10 Al 0.8110 0.6960 0.8975  4 Cl 2.10-2.24
11 Al 0.8850 0.1890 0.5642  4 Cl 2.10-2.24
12 Al 0.8850 0.6960 0.4358  4 Cl 2.10-2.24
13 Cl 0.0192 0.1900 0.0413  1 Al 2.24
14 Cl 0.0192 0.8292 0.9587  1 Al 2.24
15 Cl 0.0959 0.5435 0.8894  1 Al 2.17
16 Cl 0.0959 0.5524 0.1106  1 Al 2.17
17 Cl 0.1018 0.2859 0.5402  1 Al 2.10
18 Cl 0.1018 0.8159 0.4598  1 Al 2.10
19 Cl 0.1661 0.5086 0.3125  1 Al 2.15
20 Cl 0.1661 0.6575 0.6875  1 Al 2.15
21 Cl 0.1708 0.1900 0.2920  1 Al 2.24
22 Cl 0.1708 0.9808 0.7080  1 Al 2.24
23 Cl 0.1841 0.2859 0.7931  1 Al 2.10
24 Cl 0.1841 0.8982 0.2069  1 Al 2.10
25 Cl 0.3346 0.0980 0.8838  1 Al 2.23
26 Cl 0.3346 0.2367 0.1162  1 Al 2.23
27 Cl 0.3425 0.5086 0.0208  1 Al 2.15
28 Cl 0.3425 0.8339 0.9792  1 Al 2.15
29 Cl 0.4476 0.5435 0.4440  1 Al 2.17
30 Cl 0.4476 0.9041 0.5560  1 Al 2.17
31 Cl 0.4565 0.5524 0.2227  1 Al 2.17
32 Cl 0.4565 0.9041 0.7773  1 Al 2.17
33 Cl 0.4914 0.6575 0.6458  1 Al 2.15
34 Cl 0.4914 0.8339 0.3542  1 Al 2.15
35 Cl 0.4937 0.1870 0.2949  1 Al 2.10
36 Cl 0.4937 0.3068 0.7051  1 Al 2.10
37 Cl 0.6932 0.1870 0.0384  1 Al 2.10
38 Cl 0.6932 0.5063 0.9616  1 Al 2.10
39 Cl 0.7141 0.8159 0.8735  1 Al 2.10
40 Cl 0.7141 0.8982 0.1265  1 Al 2.10
41 Cl 0.7633 0.0980 0.4495  1 Al 2.23
42 Cl 0.7633 0.6654 0.5505  1 Al 2.23
43 Cl 0.8100 0.8292 0.3746  1 Al 2.24
44 Cl 0.8100 0.9808 0.6254  1 Al 2.24
45 Cl 0.8130 0.3068 0.6282  1 Al 2.10
46 Cl 0.8130 0.5063 0.3718  1 Al 2.10
47 Cl 0.9020 0.2367 0.2172  1 Al 2.23
48 Cl 0.9020 0.6654 0.7828  1 Al 2.23

Summary:
- Raw total energy: -4.09 eV/atom
- E_form (uncorrected): -1.7185 eV per atom
- Spin magnetization: 0.14 μB per cell

---

Entry 3:
Computed, not measured: a geometry-optimized Mg2BeI structure at the PBE-GGA level of DFT.

Lattice parameters (Å, degrees): 6.3809 6.3809 6.3809 105.33 105.33 118.12
With the nearest neighbours (Å) after each atom.
Sites, in units of the cell vectors:
1 Mg 0.0704 0.1250 0.4454  2 Be 2.59
2 Mg 0.3750 0.9296 0.0546  2 Be 2.59
3 Mg 0.6796 0.6250 0.5546  2 Be 2.59
4 Mg 0.8750 0.3204 0.9454  2 Be 2.59
5 Be 0.0000 0.0000 0.0000  4 Mg 2.59
6 Be 0.7500 0.2500 0.5000  4 Mg 2.59
7 I 0.2500 0.7500 0.5000  8 Mg 3.16-3.48, 2 Be 3.28
8 I 0.5000 0.5000 0.0000  8 Mg 3.16-3.48, 2 Be 3.28

Summary:
- Raw total energy: -1.81 eV/atom
- E_form (uncorrected): 0.3074 eV per atom
- Spin magnetization: 0.00 μB per cell